No. 1
GGA-PBE Tb2ErMg3Al2In, optimized geometry; M_tot = 0.00 Bohr magnetons per cell; VASP energy = -31.755 eV per cell
1.0
-2.5736 -3.7137 0.8608
5.6925 -3.1327 3.5038
-4.7704 4.1811 3.7759
Al Er In Mg Tb
2 1 1 3 2
Direct
0.5000 0.6661 0.3348 Al
0.5000 0.3348 0.6661 Al
0.0000 0.5630 0.5630 Er
0.0000 0.9977 0.9977 In
0.5000 0.7538 0.0000 Mg
0.5000 0.2461 0.2461 Mg
0.5000 0.0000 0.7538 Mg
0.0000 0.4380 0.0006 Tb
0.0000 0.0006 0.4380 Tb

---

No. 2
GGA-PBE KAsPIr2, optimized geometry; M_tot = 0.00 Bohr magnetons per cell; VASP energy = -31.638 eV per cell
1.0
-2.0043 2.0043 6.5736
2.0043 -2.0043 6.5736
2.0043 2.0043 -6.5736
As Ir K P
1 2 1 1
Direct
0.3558 0.3558 0.0000 As
0.7445 0.2445 0.5000 Ir
0.2445 0.7445 0.5000 Ir
0.0037 0.0037 0.0000 K
0.6515 0.6515 0.0000 P

---

No. 3
GGA-PBE TmZrHgC, optimized geometry; M_tot = 0.00 Bohr magnetons per cell; E above lowest polymorph = 0 meV/atom
1.0
-1.9430 -2.1913 -1.7946
3.4216 -0.1162 -0.2758
0.5907 -9.9674 11.5311
C Hg Tm Zr
2 2 2 2
Direct
0.0000 0.0000 0.0084 C
0.0000 0.0000 0.5084 C
0.6667 0.3333 0.2450 Hg
0.3333 0.6667 0.7450 Hg
0.3333 0.6667 0.4126 Tm
0.6667 0.3333 0.9126 Tm
0.3333 0.6667 0.0841 Zr
0.6667 0.3333 0.5841 Zr